VPbCO5: optimized geometry, GGA+U.

Cell lengths 5.447, 5.447, 6.952 Å; angles 104.50, 104.50, 105.50 degrees
Last column: magnetic moment on the atom in μB.
Fractional coordinates of all 16 atoms:
Pb1 0.346 0.654 0.250  -0.02
Pb2 0.654 0.346 0.750  -0.02
O1 0.424 0.236 0.106  -0.01
O2 0.236 0.424 0.606  -0.01
O3 0.064 0.936 0.250  -0.09
O4 0.698 0.130 0.368  -0.02
O5 0.302 0.870 0.632  -0.02
O6 0.870 0.302 0.132  -0.02
O7 0.936 0.064 0.750  -0.09
O8 0.764 0.576 0.394  -0.01
O9 0.130 0.698 0.868  -0.02
O10 0.576 0.764 0.894  -0.01
V1 0.000 0.000 0.000  1.11
V2 0.000 0.000 0.500  1.11
C1 0.309 0.691 0.750  0.00
C2 0.691 0.309 0.250  0.00

ρ   6.427 g/cm3
VASP energy   -6.99 eV/atom
Crystal system   monoclinic
Magnetization   1.98 μB per cell